Compound: Pt3I8
Source: Alexandria via LeMat-Bulk
Functional: GGA-PBEsol
Structure: relaxed

abc: 10.6749 11.5067 11.5067
angles: 90.00 90.00 90.00
Closest atoms and distances in Å follow each position.
Fractional coordinates of all 44 atoms:
I 0.4979 0.1277 0.3594  2 Pt 2.60-2.72
I 0.9979 0.8723 0.6406  2 Pt 2.60-2.72
I 0.2479 0.8594 0.3723  2 Pt 2.60-2.72
I 0.7479 0.1406 0.6277  2 Pt 2.60-2.72
I 0.5021 0.3594 0.1277  2 Pt 2.60-2.72
I 0.7521 0.3723 0.8594  2 Pt 2.60-2.72
I 0.2521 0.6277 0.1406  2 Pt 2.60-2.72
I 0.0021 0.6406 0.8723  2 Pt 2.60-2.72
I 0.4752 0.1249 0.8881  2 Pt 2.72-3.03
I 0.9752 0.8751 0.1119  2 Pt 2.72-3.03
I 0.2252 0.3881 0.3751  2 Pt 2.72-3.03
I 0.7252 0.6119 0.6249  2 Pt 2.72-3.03
I 0.9895 0.3745 0.1000  2 Pt 2.62-2.64
I 0.2395 0.4000 0.8745  2 Pt 2.62-2.64
I 0.7395 0.6000 0.1255  2 Pt 2.62-2.64
I 0.4895 0.6255 0.9000  2 Pt 2.62-2.64
I 0.7605 0.8745 0.4000  2 Pt 2.62-2.64
I 0.2605 0.1255 0.6000  2 Pt 2.62-2.64
I 0.0105 0.1000 0.3745  2 Pt 2.62-2.64
I 0.5105 0.9000 0.6255  2 Pt 2.62-2.64
I 0.9957 0.3833 0.6431  2 Pt 2.62-2.63
I 0.2457 0.8569 0.8833  2 Pt 2.62-2.63
I 0.7457 0.1431 0.1167  2 Pt 2.62-2.63
I 0.4957 0.6167 0.3569  2 Pt 2.62-2.63
I 0.7543 0.8833 0.8569  2 Pt 2.62-2.63
I 0.2543 0.1167 0.1431  2 Pt 2.62-2.63
I 0.0043 0.6431 0.3833  2 Pt 2.62-2.63
I 0.5043 0.3569 0.6167  2 Pt 2.62-2.63
I 0.0248 0.1119 0.8751  2 Pt 2.72-3.03
I 0.2748 0.6249 0.6119  2 Pt 2.72-3.03
I 0.7748 0.3751 0.3881  2 Pt 2.72-3.03
I 0.5248 0.8881 0.1249  2 Pt 2.72-3.03
Pt 0.5042 0.1290 0.6258  4 I 2.60-2.64
Pt 0.0042 0.8710 0.3742  4 I 2.60-2.64
Pt 0.2542 0.1258 0.3710  4 I 2.60-2.64
Pt 0.7542 0.8742 0.6290  4 I 2.60-2.64
Pt 0.4958 0.6258 0.1290  4 I 2.60-2.64
Pt 0.7458 0.3710 0.1258  4 I 2.60-2.64
Pt 0.2458 0.6290 0.8742  4 I 2.60-2.64
Pt 0.9958 0.3742 0.8710  4 I 2.60-2.64
Pt 0.5000 0.1233 0.1233  6 I 2.63-2.72
Pt 0.7500 0.3767 0.6233  6 I 2.63-2.72
Pt 0.2500 0.6233 0.3767  6 I 2.63-2.72
Pt 0.0000 0.8767 0.8767  6 I 2.63-2.72

Results
DFT total energy   -146.55 eV/cell
Formation energy (no corrections)   -0.147 eV per atom
Total moment   0.0 μB per formula unit